No. 1
{"formula": "CdSi2As", "functional": "GGA-PBEsol", "state": "optimized geometry", "cell": [[-1.679, 2.274, 4.716], [1.679, -2.274, 4.716], [1.679, 2.274, -4.716]], "species": ["Cd", "Si", "Si", "As"], "fractional_positions": [[0.000, 0.000, 0.000], [0.298, 0.798, 0.500], [0.503, 0.503, 0.000], [0.705, 0.205, 0.500]], "sg": "Imm2, No. 44", "e_form_raw_mev_per_atom": 375}



No. 2
{"formula": "TlCdSi2As", "functional": "GGA-PBEsol", "state": "optimized geometry", "cell": [[4.914, 0.000, 0.000], [0.000, 4.914, 0.000], [0.000, 0.000, 5.386]], "species": ["Tl", "Cd", "Si", "Si", "As"], "fractional_positions": [[0.000, 0.000, 0.000], [0.000, 0.000, 0.500], [0.000, 0.500, 0.500], [0.500, 0.000, 0.500], [0.500, 0.500, 0.000]], "sg": "P4/mmm, No. 123", "e_form_raw_mev_per_atom": 1090}



No. 3
{"formula": "Sr2CdAs", "functional": "GGA-PBEsol", "state": "optimized geometry", "cell": [[2.198, 1.269, 8.511], [-2.198, 1.269, 8.511], [0.000, -2.539, 8.511]], "species": ["Sr", "Sr", "Cd", "As"], "fractional_positions": [[0.000, 0.000, 0.000], [0.186, 0.186, 0.186], [0.441, 0.441, 0.441], [0.735, 0.735, 0.735]], "sg": "R3m, No. 160", "e_form_ev_per_atom": -0.47}



Number 1: magnetic moment 0.0 μB per cell. Number 2: magnetic moment 0.0 μB per cell. Number 3: magnetic moment 0.0 μB per cell.